[1]
The following is a PBE-GGA calculation of a relaxed structure of AcPr2Rh, from Alexandria.

a b c (Å): 4.003 6.560 10.251
angles (deg): 90.00 90.00 107.78
Element x y z (fractional)
1 Ac 0.417 0.834 0.250
2 Ac 0.583 0.166 0.750
3 Pr 0.144 0.287 0.431
4 Pr 0.856 0.713 0.569
5 Pr 0.856 0.713 0.931
6 Pr 0.144 0.287 0.069
7 Rh 0.733 0.465 0.250
8 Rh 0.267 0.535 0.750

The total energy is -0.2074 hartree per atom. The calculation puts the density of states at the Fermi level at 1.306 states/eV/atom. The energy of formation from the pure elements comes out at -1.553 eV/f.u.

=====

[2]
The following is a PBE-GGA calculation of a relaxed structure of Ac2PrRh, from Alexandria.

a b c (Å): 3.782 3.782 9.404
angles (deg): 90.00 90.00 90.00
Element x y z (fractional)
1 Pr 0.500 0.500 0.500
2 Ac 0.000 0.000 0.813
3 Ac 0.000 0.000 0.187
4 Rh 0.500 0.500 0.000

The total energy is -0.1956 hartree per atom. The calculation puts the density of states at the Fermi level at 1.362 states/eV/atom. The energy of formation from the pure elements comes out at -0.938 eV/f.u.

=====

[3]
The following is a PBE-GGA calculation of a relaxed structure of Ac2PrRh9, from Alexandria.

a b c (Å): 5.392 5.392 9.578
angles (deg): 73.65 73.65 60.00
Element x y z (fractional)
1 Ac 0.862 0.862 0.414
2 Ac 0.138 0.138 0.586
3 Pr 0.000 0.000 0.000
4 Rh 0.668 0.668 0.997
5 Rh 0.332 0.332 0.003
6 Rh 0.500 0.500 0.500
7 Rh 0.422 0.422 0.238
8 Rh 0.919 0.422 0.238
9 Rh 0.422 0.919 0.238
10 Rh 0.578 0.578 0.762
11 Rh 0.578 0.081 0.762
12 Rh 0.081 0.578 0.762

The total energy is -0.2588 hartree per atom. The calculation puts the density of states at the Fermi level at 1.021 states/eV/atom. The energy of formation from the pure elements comes out at -5.353 eV/f.u.

=====

[4]
The following is a PBE-GGA calculation of a relaxed structure of AcPr2Rh, from Alexandria.

a b c (Å): 3.693 3.693 9.290
angles (deg): 90.00 90.00 90.00
Element x y z (fractional)
1 Pr 0.000 0.000 0.821
2 Pr 0.000 0.000 0.179
3 Ac 0.500 0.500 0.500
4 Rh 0.500 0.500 0.000

The total energy is -0.2027 hartree per atom. The calculation puts the density of states at the Fermi level at 1.139 states/eV/atom. The energy of formation from the pure elements comes out at -1.046 eV/f.u.

=====

[5]
The following is a PBE-GGA calculation of a relaxed structure of Ac3Pr2Rh2, from Alexandria.

a b c (Å): 4.043 6.915 9.582
angles (deg): 114.40 90.00 107.00
Element x y z (fractional)
1 Ac 0.500 0.000 0.000
2 Ac 0.614 0.228 0.428
3 Ac 0.386 0.772 0.572
4 Pr 0.819 0.638 0.183
5 Pr 0.181 0.362 0.817
6 Rh 0.816 0.632 0.752
7 Rh 0.184 0.368 0.248

The total energy is -0.2077 hartree per atom. The calculation puts the density of states at the Fermi level at 1.038 states/eV/atom. The energy of formation from the pure elements comes out at -2.968 eV/f.u.

=====

[6]
The following is a PBE-GGA calculation of a relaxed structure of AcPr2Rh, from Alexandria.

a b c (Å): 3.964 3.964 11.219
angles (deg): 79.82 79.82 60.00
Each line ends with the local moment (μB).
Element x y z (fractional)
1 Pr 0.116 0.116 0.652  0.02
2 Pr 0.884 0.884 0.348  0.02
3 Ac 0.000 0.000 0.000  0.06
4 Rh 0.500 0.500 0.500  0.00

The total energy is -0.1988 hartree per atom. The calculation puts the density of states at the Fermi level at 1.396 states/eV/atom. The energy of formation from the pure elements comes out at -0.624 eV/f.u.

=====

[7]
The following is a PBE-GGA calculation of a relaxed structure of AcPr12Rh7, from Alexandria.

a b c (Å): 9.163 9.163 9.163
angles (deg): 107.25 107.25 107.25
Element x y z (fractional)
1 Ac 0.000 0.000 0.000
2 Pr 0.926 0.305 0.775
3 Pr 0.695 0.225 0.074
4 Pr 0.463 0.159 0.383
5 Pr 0.841 0.617 0.537
6 Pr 0.225 0.074 0.695
7 Pr 0.617 0.537 0.841
8 Pr 0.383 0.463 0.159
9 Pr 0.775 0.926 0.305
10 Pr 0.159 0.383 0.463
11 Pr 0.537 0.841 0.617
12 Pr 0.305 0.775 0.926
13 Pr 0.074 0.695 0.225
14 Rh 0.960 0.637 0.875
15 Rh 0.363 0.125 0.040
16 Rh 0.125 0.040 0.363
17 Rh 0.500 0.500 0.500
18 Rh 0.875 0.960 0.637
19 Rh 0.637 0.875 0.960
20 Rh 0.040 0.363 0.125

The total energy is -0.2240 hartree per atom. The calculation puts the density of states at the Fermi level at 0.885 states/eV/atom. The energy of formation from the pure elements comes out at -8.970 eV/f.u.

=====

[8]
The following is a PBE-GGA calculation of a relaxed structure of AcPrRh, from Alexandria.

a b c (Å): 5.105 5.105 5.105
angles (deg): 60.00 60.00 60.00
Element x y z (fractional)
1 Pr 0.500 0.500 0.500
2 Ac 0.000 0.000 0.000
3 Rh 0.250 0.250 0.250

The total energy is -0.2140 hartree per atom. The calculation puts the density of states at the Fermi level at 0.743 states/eV/atom. The energy of formation from the pure elements comes out at -1.230 eV/f.u.

=====

[9]
The following is a PBE-GGA calculation of a relaxed structure of AcPrRh4, from Alexandria.

a b c (Å): 5.495 5.495 5.495
angles (deg): 60.00 60.00 60.00
Element x y z (fractional)
1 Pr 0.250 0.250 0.250
2 Ac 0.000 0.000 0.000
3 Rh 0.625 0.625 0.126
4 Rh 0.625 0.126 0.625
5 Rh 0.625 0.625 0.625
6 Rh 0.126 0.625 0.625

The total energy is -0.2565 hartree per atom. The calculation puts the density of states at the Fermi level at 0.517 states/eV/atom. The energy of formation from the pure elements comes out at -3.578 eV/f.u.

=====

[10]
The following is a PBE-GGA calculation of a relaxed structure of Ac2PrRh2, from Alexandria.

a b c (Å): 4.443 6.545 11.238
angles (deg): 90.00 101.40 90.00
Element x y z (fractional)
1 Ac 0.057 0.279 0.114
2 Ac 0.276 0.746 0.552
3 Ac 0.724 0.246 0.448
4 Ac 0.943 0.779 0.886
5 Pr 0.610 0.795 0.219
6 Pr 0.390 0.295 0.781
7 Rh 0.502 0.534 0.004
8 Rh 0.171 0.012 0.342
9 Rh 0.829 0.512 0.658
10 Rh 0.498 0.034 0.996

The total energy is -0.2252 hartree per atom. The calculation puts the density of states at the Fermi level at 0.492 states/eV/atom. The energy of formation from the pure elements comes out at -2.934 eV/f.u.

=====

[11]
The following is a PBE-GGA calculation of a relaxed structure of AcPr3Rh8, from Alexandria.

a b c (Å): 5.463 5.463 9.482
angles (deg): 73.26 73.26 60.00
Element x y z (fractional)
1 Ac 0.875 0.875 0.374
2 Pr 0.375 0.375 0.876
3 Pr 0.001 0.001 0.996
4 Pr 0.499 0.499 0.504
5 Rh 0.938 0.439 0.184
6 Rh 0.436 0.937 0.690
7 Rh 0.439 0.439 0.184
8 Rh 0.937 0.937 0.690
9 Rh 0.187 0.187 0.438
10 Rh 0.688 0.688 0.937
11 Rh 0.439 0.938 0.184
12 Rh 0.937 0.436 0.690

The total energy is -0.2593 hartree per atom. The calculation puts the density of states at the Fermi level at 0.545 states/eV/atom. The energy of formation from the pure elements comes out at -7.397 eV/f.u.

=====

[12]
The following is a PBE-GGA calculation of a relaxed structure of AcPrRh, from Alexandria.

a b c (Å): 5.090 7.441 9.465
angles (deg): 90.00 90.00 90.00
Element x y z (fractional)
1 Ac 0.750 0.141 0.599
2 Ac 0.250 0.359 0.099
3 Ac 0.750 0.641 0.901
4 Ac 0.250 0.859 0.401
5 Pr 0.250 0.003 0.846
6 Pr 0.250 0.503 0.654
7 Pr 0.750 0.497 0.346
8 Pr 0.750 0.997 0.154
9 Rh 0.250 0.265 0.422
10 Rh 0.250 0.765 0.078
11 Rh 0.750 0.735 0.578
12 Rh 0.750 0.235 0.922

The total energy is -0.2162 hartree per atom. The calculation puts the density of states at the Fermi level at 0.858 states/eV/atom. The energy of formation from the pure elements comes out at -1.411 eV/f.u.